# 1
Ta3FeCN: relaxed, PBE.

Properties
As for the crystal system: trigonal. The calculation puts the electronic total energy at -10.686 eV per atom. The spin magnetization comes out at 1.4 μB per formula unit.

```
data_Ta3FeCN
_symmetry_space_group_name_H-M 'P -3 m 1'
_symmetry_Int_Tables_number 164
_symmetry_space_group_name_Hall '-P 3 2"'
_cell_length_a 3.0989
_cell_length_b 3.0989
_cell_length_c 18.1736
_cell_angle_alpha 90.00
_cell_angle_beta 90.00
_cell_angle_gamma 120.00
loop_
_atom_site_label
_atom_site_type_symbol
_atom_site_fract_x
_atom_site_fract_y
_atom_site_fract_z
Ta1 Ta 0.0000 0.0000 0.0000
Ta2 Ta 0.0000 0.0000 0.5000
Ta3 Ta 0.3333 0.6667 0.1416
Ta4 Ta 0.3333 0.6667 0.3585
Fe1 Fe 0.0000 0.0000 0.2483
C1 C 0.3333 0.6667 0.5737
N1 N 0.3333 0.6667 0.9277
```



# 2
NpTl: relaxed, PBE.

Properties
As for the crystal system: cubic. The calculation puts the electronic total energy at -6.700 eV per atom. The spin magnetization comes out at 5.3 μB per formula unit.

```
data_NpTl
_symmetry_space_group_name_H-M 'F m -3 m'
_symmetry_Int_Tables_number 225
_symmetry_space_group_name_Hall '-F 4 2 3'
_cell_length_a 6.377
_cell_length_b 6.377
_cell_length_c 6.377
_cell_angle_alpha 90.00
_cell_angle_beta 90.00
_cell_angle_gamma 90.00
loop_
_atom_site_label
_atom_site_type_symbol
_atom_site_fract_x
_atom_site_fract_y
_atom_site_fract_z
Np1 Np 0.000 0.000 0.000
Tl1 Tl 0.000 0.000 0.500
```



# 3
La2ZnAu3: relaxed, PBE.

Properties
As for the crystal system: orthorhombic. The formation energy is -769 meV per atom. The calculation puts the electronic total energy at -4.254 eV per atom. The spin magnetization comes out at 0.0 μB per formula unit.

```
data_La2ZnAu3
_symmetry_space_group_name_H-M 'F m m m'
_symmetry_Int_Tables_number 69
_symmetry_space_group_name_Hall '-F 2 2'
_cell_length_a 7.505
_cell_length_b 9.440
_cell_length_c 16.296
_cell_angle_alpha 90.00
_cell_angle_beta 90.00
_cell_angle_gamma 90.00
loop_
_atom_site_label
_atom_site_type_symbol
_atom_site_fract_x
_atom_site_fract_y
_atom_site_fract_z
La1 La 0.244 0.000 0.000
La2 La 0.250 0.250 0.250
Zn1 Zn 0.000 0.000 0.333
Au1 Au 0.000 0.000 0.172
Au2 Au 0.000 0.239 0.414
```



# 4
NdReB4: relaxed, PBE.

Properties
As for the crystal system: orthorhombic. The value obtained for the energy above the lowest structure with this stoichiometry is 0.139 eV/atom. The calculation puts the electronic total energy at -7.314 eV per atom. The spin magnetization comes out at 0.0 μB per formula unit.

```
data_NdReB4
_symmetry_space_group_name_H-M 'I m m m'
_symmetry_Int_Tables_number 71
_symmetry_space_group_name_Hall '-I 2 2'
_cell_length_a 3.180
_cell_length_b 5.468
_cell_length_c 7.365
_cell_angle_alpha 90.00
_cell_angle_beta 90.00
_cell_angle_gamma 90.00
loop_
_atom_site_label
_atom_site_type_symbol
_atom_site_fract_x
_atom_site_fract_y
_atom_site_fract_z
Nd1 Nd 0.000 0.000 0.000
Re1 Re 0.000 0.000 0.500
B1 B 0.000 0.338 0.245
```



# 5
Gd3Fe2Ni7: relaxed, PBE.

Properties
As for the crystal system: trigonal. The formation energy is -320 meV per atom. The calculation puts the electronic total energy at -6.116 eV per atom. The spin magnetization comes out at 5.9 μB per formula unit.

```
data_Gd3Fe2Ni7
_symmetry_space_group_name_H-M 'R -3 m'
_symmetry_Int_Tables_number 166
_symmetry_space_group_name_Hall '-R 3 2"'
_cell_length_a 4.9942
_cell_length_b 4.9942
_cell_length_c 24.3348
_cell_angle_alpha 90.00
_cell_angle_beta 90.00
_cell_angle_gamma 120.00
loop_
_atom_site_label
_atom_site_type_symbol
_atom_site_fract_x
_atom_site_fract_y
_atom_site_fract_z
Gd1 Gd 0.0000 0.0000 0.0000
Gd2 Gd 0.0000 0.0000 0.1388
Fe1 Fe 0.0000 0.0000 0.3328
Ni1 Ni 0.0000 0.0000 0.5000
Ni2 Ni 0.0011 0.5006 0.0812
```



# 6
TbH9C5N2O8: relaxed, PBE.

Properties
As for the crystal system: monoclinic. The calculation puts the electronic total energy at -6.501 eV per atom. The spin magnetization comes out at 0.0 μB per formula unit.

```
data_TbH9C5N2O8
_symmetry_space_group_name_H-M 'C 1 2 1'
_symmetry_Int_Tables_number 5
_symmetry_space_group_name_Hall 'C 2y'
_cell_length_a 11.243
_cell_length_b 7.048
_cell_length_c 6.504
_cell_angle_alpha 90.00
_cell_angle_beta 110.32
_cell_angle_gamma 90.00
loop_
_atom_site_label
_atom_site_type_symbol
_atom_site_fract_x
_atom_site_fract_y
_atom_site_fract_z
Tb1 Tb 0.000 0.000 0.000
H1 H 0.000 0.916 0.500
H2 H 0.008 0.543 0.176
H3 H 0.126 0.372 0.466
H4 H 0.186 0.354 0.877
H5 H 0.226 0.568 0.597
C1 C 0.000 0.072 0.500
C2 C 0.090 0.615 0.297
C3 C 0.239 0.296 0.042
N1 N 0.154 0.510 0.467
O1 O 0.006 0.157 0.332
O2 O 0.117 0.785 0.269
O3 O 0.146 0.837 0.867
O4 O 0.177 0.190 0.127
```



# 7
ErTmGa2Cu2: relaxed, PBE.

Properties
As for the crystal system: hexagonal. The calculation puts the electronic total energy at -4.271 eV per atom. The spin magnetization comes out at 0.0 μB per formula unit.

```
data_ErTmGa2Cu2
_symmetry_space_group_name_H-M 'P -6 m 2'
_symmetry_Int_Tables_number 187
_symmetry_space_group_name_Hall 'P -6 2'
_cell_length_a 4.3294
_cell_length_b 4.3294
_cell_length_c 6.9316
_cell_angle_alpha 90.00
_cell_angle_beta 90.00
_cell_angle_gamma 120.00
loop_
_atom_site_label
_atom_site_type_symbol
_atom_site_fract_x
_atom_site_fract_y
_atom_site_fract_z
Er1 Er 0.0000 0.0000 0.0000
Tm1 Tm 0.0000 0.0000 0.5000
Ga1 Ga 0.3333 0.6667 0.2657
Cu1 Cu 0.6667 0.3333 0.2428
```



# 8
NbCoReSb: relaxed, PBE.

Properties
As for the crystal system: cubic. The value obtained for the energy above the lowest structure with this stoichiometry is 0.000 eV/atom. The calculation puts the electronic total energy at -8.296 eV per atom. The spin magnetization comes out at 2.0 μB per formula unit.

```
data_NbCoReSb
_symmetry_space_group_name_H-M 'F -4 3 m'
_symmetry_Int_Tables_number 216
_symmetry_space_group_name_Hall 'F -4 2 3'
_cell_length_a 6.356
_cell_length_b 6.356
_cell_length_c 6.356
_cell_angle_alpha 90.00
_cell_angle_beta 90.00
_cell_angle_gamma 90.00
loop_
_atom_site_label
_atom_site_type_symbol
_atom_site_fract_x
_atom_site_fract_y
_atom_site_fract_z
Nb1 Nb 0.000 0.000 0.000
Co1 Co 0.250 0.250 0.750
Re1 Re 0.250 0.250 0.250
Sb1 Sb 0.000 0.000 0.500
```



| no. | V (Å³/atom) |
| --- | --- |
| 1 | 12.6 |
| 2 | 32.4 |
| 3 | 24.1 |
| 4 | 10.7 |
| 5 | 14.6 |
| 6 | 9.7 |
| 7 | 18.8 |
| 8 | 16.0 |